[1]
PrNd3Au2 | GGA-PBE | relaxed

```
PrNd3Au2
1.0
8.223 -2.672 0.000
8.223 2.672 0.000
-3.829 0.000 8.063
Pr Nd Au
2 6 4
Direct
0.132 0.132 0.201
0.868 0.868 0.799
0.062 0.062 0.727
0.306 0.306 0.990
0.376 0.376 0.482
0.624 0.624 0.518
0.694 0.694 0.010
0.938 0.938 0.273
0.221 0.221 0.607
0.495 0.495 0.838
0.505 0.505 0.162
0.779 0.779 0.393
```

Summary:
Formation energy from the elements, eV per atom: -0.444
Polymorph energy (0 for the lowest one), eV per atom: 0.074
Space group: C2/m (12)

[2]
LaSm2TmS6 | GGA-PBE | relaxed

```
LaSm2TmS6
1.0
3.544 2.046 6.241
-3.544 2.046 6.241
0.000 -4.092 6.241
La Sm Tm S
1 2 1 6
Direct
0.000 0.000 0.000
0.288 0.288 0.288
0.793 0.793 0.793
0.492 0.492 0.492
0.100 0.677 0.406
0.205 0.595 0.879
0.406 0.100 0.677
0.595 0.879 0.205
0.677 0.406 0.100
0.879 0.205 0.595
```

Summary:
Energy, eV for the cell shown: -64.191
Space group: R3 (146)

[3]
Dy5Sc3Bi8 | GGA-PBE | relaxed

```
Dy5Sc3Bi8
1.0
4.403 2.542 7.184
-4.403 2.542 7.184
0.000 -5.084 7.184
Dy Sc Bi
5 3 8
Direct
0.000 0.000 0.000
0.000 0.500 0.500
0.500 0.000 0.500
0.500 0.500 0.000
0.500 0.500 0.500
0.000 0.000 0.500
0.000 0.500 0.000
0.500 0.000 0.000
0.240 0.750 0.750
0.245 0.245 0.245
0.250 0.250 0.760
0.250 0.760 0.250
0.750 0.240 0.750
0.750 0.750 0.240
0.755 0.755 0.755
0.760 0.250 0.250
```

Summary:
Formation energy from the elements, eV per atom: -0.775
Space group: R-3m (166)

[4]
CsRhIO2 | GGA-PBE | relaxed

```
CsRhIO2
1.0
4.248 0.000 0.000
0.000 4.248 0.000
0.000 0.000 7.891
Cs Rh I O
1 1 1 2
Direct
0.000 0.000 0.000
0.500 0.500 0.500
0.000 0.000 0.500
0.000 0.500 0.000
0.500 0.000 0.000
```

Summary:
Polymorph energy (0 for the lowest one), eV per atom: 0.900
Space group: P4/mmm (123)

[5]
URe | GGA-PBE | relaxed

```
URe
1.0
9.217 0.000 0.000
0.000 4.873 0.000
0.000 0.000 6.834
U Re
8 8
Direct
0.063 0.250 0.006
0.070 0.750 0.643
0.430 0.250 0.143
0.437 0.750 0.506
0.563 0.250 0.494
0.570 0.750 0.857
0.930 0.250 0.357
0.937 0.750 0.994
0.184 0.750 0.259
0.222 0.250 0.404
0.278 0.750 0.904
0.316 0.250 0.759
0.684 0.750 0.241
0.722 0.250 0.096
0.778 0.750 0.596
0.816 0.250 0.741
```

Summary:
Formation energy from the elements, eV per atom: 0.102
Space group: Pnma (62)

[6]
Pr2NiSn2 | GGA-PBE | relaxed

```
Pr2NiSn2
1.0
5.675 -2.285 0.000
5.675 2.285 0.000
-5.299 0.000 9.969
Pr Ni Sn
4 2 4
Direct
0.001 0.001 0.167
0.188 0.188 0.616
0.812 0.812 0.384
0.999 0.999 0.833
0.282 0.282 0.159
0.718 0.718 0.841
0.335 0.335 0.942
0.481 0.481 0.624
0.519 0.519 0.376
0.665 0.665 0.058
```

Summary:
Formation energy from the elements, eV per atom: -0.665
Space group: C2/m (12)

[7]
CoNiRh14 | GGA-PBE | relaxed

```
CoNiRh14
1.0
8.821 0.000 0.000
0.000 2.706 4.672
0.000 -2.706 4.672
Co Ni Rh
1 1 14
Direct
0.000 0.000 0.000
0.000 0.500 0.500
0.000 0.001 0.501
0.000 0.501 0.001
0.244 0.332 0.834
0.244 0.834 0.332
0.246 0.835 0.835
0.247 0.334 0.334
0.500 0.166 0.166
0.500 0.167 0.667
0.500 0.666 0.666
0.500 0.667 0.167
0.753 0.334 0.334
0.754 0.835 0.835
0.756 0.332 0.834
0.756 0.834 0.332
```

Summary:
Formation energy from the elements, eV per atom: 0.034
Space group: Amm2 (38)

[8]
BaNa2As2Pt | GGA-PBE | relaxed

```
BaNa2As2Pt
1.0
-2.770 2.770 5.754
2.770 -2.770 5.754
2.770 2.770 -5.754
Ba Na As Pt
1 2 2 1
Direct
0.000 0.000 0.000
0.250 0.750 0.500
0.750 0.250 0.500
0.297 0.297 0.000
0.703 0.703 0.000
0.500 0.500 0.000
```

Summary:
Formation energy from the elements, eV per atom: -0.459
Space group: I4/mmm (139)

[9]
Na2AlH4 | GGA-PBE | relaxed

```
Na2AlH4
1.0
5.070 -1.618 0.000
5.070 1.618 0.000
-2.304 0.000 5.095
Na Al H
2 1 4
Direct
0.175 0.175 0.172
0.825 0.825 0.828
0.500 0.500 0.500
0.107 0.107 0.500
0.399 0.399 0.129
0.601 0.601 0.871
0.893 0.893 0.500
```

Summary:
Energy, eV for the cell shown: -19.545
Space group: C2/m (12)

[10]
Na5BiH2Pd | GGA-PBE | relaxed

```
Na5BiH2Pd
1.0
4.988 0.000 0.000
0.000 4.988 0.000
0.000 0.000 8.087
Na Bi H Pd
5 1 2 1
Direct
0.000 0.000 0.000
0.000 0.500 0.274
0.000 0.500 0.726
0.500 0.000 0.274
0.500 0.000 0.726
0.500 0.500 0.000
0.000 0.000 0.293
0.000 0.000 0.707
0.000 0.000 0.500
```

Summary:
Energy, eV for the cell shown: -24.969
Space group: P4/mmm (123)

[11]
CsHg2GeBr | GGA-PBE | relaxed

```
CsHg2GeBr
1.0
5.595 0.000 0.000
0.000 5.595 0.000
0.000 0.000 5.932
Cs Hg Ge Br
1 2 1 1
Direct
0.000 0.000 0.000
0.000 0.500 0.500
0.500 0.000 0.500
0.500 0.500 0.500
0.500 0.500 0.000
```

Summary:
Polymorph energy (0 for the lowest one), eV per atom: 0.000
Space group: P4/mmm (123)

[12]
La3PbN | GGA-PBE | relaxed

```
La3PbN
1.0
6.200 0.000 0.000
0.000 14.074 0.000
0.000 0.000 7.053
La Pb N
12 4 4
Direct
0.009 0.114 0.060
0.009 0.386 0.060
0.031 0.250 0.574
0.469 0.750 0.074
0.491 0.614 0.560
0.491 0.886 0.560
0.509 0.114 0.440
0.509 0.386 0.440
0.531 0.250 0.926
0.969 0.750 0.426
0.991 0.614 0.940
0.991 0.886 0.940
0.000 0.000 0.500
0.000 0.500 0.500
0.500 0.000 0.000
0.500 0.500 0.000
0.076 0.750 0.107
0.424 0.250 0.607
0.576 0.750 0.393
0.924 0.250 0.893
```

Summary:
Energy, eV for the cell shown: -122.880
Space group: Pnma (62)